# 1
The following is a PBE-GGA calculation of an optimized crystal structure of ReSi2Au, from Alexandria.

Cell lengths 4.4503, 4.4503, 4.4503 Å; angles 60.00, 60.00, 60.00 degrees
With the nearest neighbours (Å) after each atom.
Fractional coordinates of all 4 atoms:
1 Si 0.0000 0.0000 0.0000  4 Si 2.73, 4 Re 2.73
2 Au 0.5000 0.5000 0.5000  4 Re 2.73, 4 Si 2.73
3 Re 0.7500 0.7500 0.7500  4 Au 2.73, 4 Si 2.73
4 Si 0.2500 0.2500 0.2500  4 Au 2.73, 4 Si 2.73

Calculated values
As for the space group: F-43m. The value obtained for the total magnetization is 0.00 μB per formula unit. The energy relative to the elements, uncorrected is 0.722 eV/atom.

=====

# 2
The following is a PBE-GGA calculation of an optimized crystal structure of Y2TiOs, from Alexandria.

Cell lengths 10.0110, 10.0110, 7.4680 Å; angles 47.91, 47.91, 90.00 degrees
With the nearest neighbours (Å) after each atom.
Fractional coordinates of all 8 atoms:
1 Ti 0.2500 0.7500 0.5000  2 Os 2.38
2 Os 0.7500 0.2500 0.5000  2 Ti 2.38
3 Y 0.9798 0.6250 0.2500  2 Os 2.78
4 Ti 0.5000 0.5000 0.0000  2 Os 2.38
5 Y 0.8750 0.0202 0.7500  2 Os 2.78
6 Y 0.7702 0.1250 0.2500  2 Os 2.78
7 Os 0.0000 0.0000 0.0000  2 Ti 2.38
8 Y 0.3750 0.2298 0.7500  2 Os 2.78

Calculated values
As for the space group: I-42d. The value obtained for the formation enthalpy at 0 K is 0.367 eV per atom. The value obtained for the total magnetization is 0.53 μB per formula unit.

=====

# 3
The following is a PBE-GGA calculation of an optimized crystal structure of SrLi2AuN, from Alexandria.

Cell lengths 4.3098, 4.3098, 5.1131 Å; angles 90.00, 90.00, 90.00 degrees
With the nearest neighbours (Å) after each atom.
Fractional coordinates of all 5 atoms:
1 Li 0.0000 0.5000 0.0000  2 N 2.15
2 Au 0.5000 0.5000 0.5000  4 Sr 3.05, 8 Li 3.34
3 Li 0.5000 0.0000 0.0000  2 N 2.15
4 Sr 0.0000 0.0000 0.5000  2 N 2.56
5 N 0.0000 0.0000 0.0000  4 Li 2.15

Calculated values
As for the space group: P4/mmm. The value obtained for the total magnetization is 0.07 μB per formula unit. The energy relative to the elements, uncorrected is -0.392 eV/atom.

=====

Number 1: raw total energy -5.921 eV per atom. Number 2: raw total energy -7.647 eV per atom. Number 3: raw total energy -3.814 eV per atom.